Compound: V6CrNi
Source: the Alexandria database
Functional: PBE
Structure: optimized geometry

- ΔE_f (eV/atom) = -0.065
- raw total energy (eV per atom) = -8.83
- magnetization (μB per formula unit) = 0.00

CIF file:
```
data_V6CrNi
_cell_length_a 4.109
_cell_length_b 5.148
_cell_length_c 5.148
_cell_angle_alpha 110.06
_cell_angle_beta 90.00
_cell_angle_gamma 90.00
_space_group_name_H-M_alt 'P 1'
_space_group_IT_number 1
loop_
_space_group_symop_operation_xyz
'x,y,z'
loop_
_atom_site_label
_atom_site_fract_x
_atom_site_fract_y
_atom_site_fract_z
_atom_site_occupancy
V1 0.000 0.264 0.264 1
V2 0.000 0.736 0.736 1
V3 0.500 0.000 0.500 1
V4 0.000 0.753 0.247 1
V5 0.500 0.500 0.000 1
V6 0.000 0.247 0.753 1
Cr1 0.500 0.500 0.500 1
Ni1 0.500 0.000 0.000 1
```